*1*
Ce2ZnNi after structural relaxation, computed with PBE.

a = 3.582 Å, b = 3.582 Å, c = 6.686 Å
α = 90.00°, β = 90.00°, γ = 90.00°
Element x y z (fractional)
Ce 0.000 0.000 0.783
Ce 0.000 0.000 0.217
Ni 0.500 0.500 0.000
Zn 0.500 0.500 0.500

SG: P4/mmm (123)
Magnetization (μB/f.u.): 0.00

*2*
Ce2ZnNi after structural relaxation, computed with PBE.

a = 4.207 Å, b = 4.390 Å, c = 4.390 Å
α = 90.00°, β = 90.00°, γ = 90.00°
Element x y z (fractional)
Ce 0.000 0.500 0.000
Ce 0.000 0.000 0.500
Ni 0.500 0.500 0.500
Zn 0.500 0.000 0.000

SG: P4/mmm (123)
Magnetization (μB/f.u.): 0.00

Most stable: *1*. Least stable: *2*.

*1*
CeZnNi4 after structural relaxation, computed with PBE.

a = 4.917 Å, b = 4.917 Å, c = 4.917 Å
α = 60.00°, β = 60.00°, γ = 60.00°
Element x y z (fractional)
Ni 0.121 0.626 0.626
Ni 0.626 0.121 0.626
Ni 0.626 0.626 0.121
Ni 0.626 0.626 0.626
Zn 0.000 0.000 0.000
Ce 0.250 0.250 0.250

SG: F-43m (216)
Magnetization (μB/f.u.): 0.00

*2*
CeZnNi4 after structural relaxation, computed with PBE.

a = 5.025 Å, b = 5.025 Å, c = 3.946 Å
α = 90.00°, β = 90.00°, γ = 120.00°
Last column: magnetic moment on the atom in μB.
Element x y z (fractional)
Ce 0.000 0.000 0.000  -0.07
Ni 0.667 0.333 0.000  0.01
Ni 0.502 0.005 0.500  0.01
Ni 0.995 0.498 0.500  0.01
Ni 0.502 0.498 0.500  0.01
Zn 0.333 0.667 0.000  0.00

SG: P-6m2 (187)
Magnetization (μB/f.u.): 0.04

Most stable: *1*. Least stable: *2*.